DFT (GGA-PBEsol) results for a relaxed K2ZnGaC crystal.

Properties
As for the symmetry: P4/mmm. As for the total energy: -13.89 eV per cell.

Cell and atoms, written as CIF:
```
data_K2ZnGaC
_cell_length_a 6.091
_cell_length_b 6.091
_cell_length_c 3.635
_cell_angle_alpha 90.00
_cell_angle_beta 90.00
_cell_angle_gamma 90.00
_space_group_name_H-M_alt 'P 1'
_space_group_IT_number 1
loop_
_space_group_symop_operation_xyz
'x,y,z'
loop_
_atom_site_label
_atom_site_fract_x
_atom_site_fract_y
_atom_site_fract_z
K1 0.000 0.500 0.000
K2 0.500 0.000 0.000
Zn1 0.000 0.000 0.500
Ga1 0.500 0.500 0.500
C1 0.500 0.500 0.000
```

DFT (GGA-PBEsol) results for a relaxed LaGaPdC2 crystal.

Properties
As for the symmetry: P4/mmm. As for the total energy: -25.79 eV per cell.

Cell and atoms, written as CIF:
```
data_LaGaPdC2
_cell_length_a 3.948
_cell_length_b 3.948
_cell_length_c 5.717
_cell_angle_alpha 90.00
_cell_angle_beta 90.00
_cell_angle_gamma 90.00
_space_group_name_H-M_alt 'P 1'
_space_group_IT_number 1
loop_
_space_group_symop_operation_xyz
'x,y,z'
loop_
_atom_site_label
_atom_site_fract_x
_atom_site_fract_y
_atom_site_fract_z
La1 0.000 0.000 0.000
Ga1 0.000 0.000 0.500
Pd1 0.500 0.500 0.000
C1 0.000 0.500 0.500
C2 0.500 0.000 0.500
```

DFT (GGA-PBEsol) results for a relaxed LiGaPC2 crystal.

Properties
As for the symmetry: P4/mmm. As for the total energy: -19.93 eV per cell.

Cell and atoms, written as CIF:
```
data_LiGaPC2
_cell_length_a 3.681
_cell_length_b 3.681
_cell_length_c 4.439
_cell_angle_alpha 90.00
_cell_angle_beta 90.00
_cell_angle_gamma 90.00
_space_group_name_H-M_alt 'P 1'
_space_group_IT_number 1
loop_
_space_group_symop_operation_xyz
'x,y,z'
loop_
_atom_site_label
_atom_site_fract_x
_atom_site_fract_y
_atom_site_fract_z
Li1 0.000 0.000 0.000
Ga1 0.500 0.500 0.500
P1 0.000 0.000 0.500
C1 0.000 0.500 0.000
C2 0.500 0.000 0.000
```

DFT (GGA-PBEsol) results for a relaxed MgGaC2 crystal.

Properties
As for the symmetry: I-42d. As for the total energy: -39.30 eV per cell.

Cell and atoms, written as CIF:
```
data_MgGaC2
_cell_length_a 6.744
_cell_length_b 6.744
_cell_length_c 6.744
_cell_angle_alpha 144.47
_cell_angle_beta 144.47
_cell_angle_gamma 51.12
_space_group_name_H-M_alt 'P 1'
_space_group_IT_number 1
loop_
_space_group_symop_operation_xyz
'x,y,z'
loop_
_atom_site_label
_atom_site_fract_x
_atom_site_fract_y
_atom_site_fract_z
Mg1 0.000 0.000 0.000
Mg2 0.750 0.250 0.500
Ga1 0.250 0.750 0.500
Ga2 0.500 0.500 0.000
C1 0.227 0.625 0.102
C2 0.375 0.477 0.602
C3 0.523 0.125 0.898
C4 0.875 0.773 0.398
```

DFT (GGA-PBEsol) results for a relaxed Ga2C3N6 crystal.

Properties
As for the symmetry: C2/m. The energy relative to the lowest polymorph listed for this composition is 0.0965 eV/atom. Its uncorrected formation energy is 26 meV/atom.

Cell and atoms, written as CIF:
```
data_Ga2C3N6
_cell_length_a 8.603
_cell_length_b 8.603
_cell_length_c 5.081
_cell_angle_alpha 96.02
_cell_angle_beta 96.02
_cell_angle_gamma 21.63
_space_group_name_H-M_alt 'P 1'
_space_group_IT_number 1
loop_
_space_group_symop_operation_xyz
'x,y,z'
loop_
_atom_site_label
_atom_site_fract_x
_atom_site_fract_y
_atom_site_fract_z
Ga1 0.170 0.170 0.086
Ga2 0.830 0.830 0.914
C1 0.000 0.000 0.000
C2 0.317 0.317 0.407
C3 0.683 0.683 0.593
N1 0.067 0.067 0.933
N2 0.294 0.294 0.165
N3 0.334 0.334 0.645
N4 0.666 0.666 0.355
N5 0.706 0.706 0.835
N6 0.933 0.933 0.067
```

DFT (GGA-PBEsol) results for a relaxed Ga2C3N6 crystal.

Properties
As for the symmetry: R-3c. The energy relative to the lowest polymorph listed for this composition is 0.0000 eV/atom. Its uncorrected formation energy is -70 meV/atom.

Cell and atoms, written as CIF:
```
data_Ga2C3N6
_cell_length_a 9.844
_cell_length_b 9.844
_cell_length_c 9.844
_cell_angle_alpha 32.99
_cell_angle_beta 32.99
_cell_angle_gamma 32.99
_space_group_name_H-M_alt 'P 1'
_space_group_IT_number 1
loop_
_space_group_symop_operation_xyz
'x,y,z'
loop_
_atom_site_label
_atom_site_fract_x
_atom_site_fract_y
_atom_site_fract_z
Ga1 0.164 0.164 0.164
Ga2 0.336 0.336 0.336
Ga3 0.664 0.664 0.664
Ga4 0.836 0.836 0.836
C1 0.059 0.750 0.441
C2 0.250 0.559 0.941
C3 0.441 0.059 0.750
C4 0.559 0.941 0.250
C5 0.750 0.441 0.059
C6 0.941 0.250 0.559
N1 0.039 0.650 0.432
N2 0.068 0.850 0.461
N3 0.150 0.539 0.932
N4 0.350 0.568 0.961
N5 0.432 0.039 0.650
N6 0.461 0.068 0.850
N7 0.539 0.932 0.150
N8 0.568 0.961 0.350
N9 0.650 0.432 0.039
N10 0.850 0.461 0.068
N11 0.932 0.150 0.539
N12 0.961 0.350 0.568
```

Question: Number 3 is which compound?
Answer: LiGaPC2